(1)
NaLaTiF2: optimized geometry, PBE.

The value obtained for the total moment is 2.61 μB per cell. The formation energy (no corrections) comes out at -1.013 eV/atom.

The structure belongs to space group P4/mmm (No. 123); the cell edges are 4.285, 4.285 and 6.220 Å and the angles 90.00°, 90.00° and 90.00°. The asymmetric unit holds Na at (0.000, 0.000, 0.000), La at (0.500, 0.500, 0.000), Ti at (0.500, 0.500, 0.500) and F at (0.000, 0.500, 0.500).

=====

(2)
TbPuZnCu: optimized geometry, PBE.

The value obtained for the total moment is 23.29 μB per cell. As for the formation energy from the elements: -0.08 eV per atom.

The structure belongs to space group F-43m (No. 216); the cell edges are 7.070, 7.070 and 7.070 Å and the angles 90.00°, 90.00° and 90.00°. The asymmetric unit holds Tb at (0.000, 0.000, 0.000), Pu at (0.000, 0.000, 0.500), Zn at (0.250, 0.250, 0.250) and Cu at (0.250, 0.250, 0.750).

=====

(3)
NiHgSe2Br: optimized geometry, PBE.

The calculation puts the polymorph energy (0 for the lowest one) at 775 meV/atom. The value obtained for the total moment is 2.13 μB per cell. The formation energy (no corrections) comes out at 1.000 eV/atom.

The structure belongs to space group P4/mmm (No. 123); the cell edges are 5.255, 5.255 and 5.517 Å and the angles 90.00°, 90.00° and 90.00°. The asymmetric unit holds Ni at (0.000, 0.000, 0.000), Hg at (0.500, 0.500, 0.500), Se at (0.000, 0.500, 0.500) and Br at (0.500, 0.500, 0.000).

=====

(4)
ScNiH2W: optimized geometry, PBE.

The value obtained for the total moment is 0.56 μB per cell. The value obtained for the total energy is -5.52 eV per atom.

The structure belongs to space group P4/mmm (No. 123); the cell edges are 3.541, 3.541 and 5.412 Å and the angles 90.00°, 90.00° and 90.00°. The asymmetric unit holds Sc at (0.000, 0.000, 0.000), Ni at (0.500, 0.500, 0.000), H at (0.000, 0.500, 0.500) and W at (0.000, 0.000, 0.500).

=====

(5)
SmLuPuTh: optimized geometry, PBE.

The value obtained for the total moment is 31.44 μB per cell. As for the formation energy from the elements: 0.20 eV per atom.

The structure belongs to space group F-43m (No. 216); the cell edges are 7.876, 7.876 and 7.876 Å and the angles 90.00°, 90.00° and 90.00°. The asymmetric unit holds Sm at (0.000, 0.000, 0.000), Lu at (0.250, 0.250, 0.750), Pu at (0.250, 0.250, 0.250) and Th at (0.000, 0.000, 0.500).

=====

(6)
YBeW2: optimized geometry, PBE.

The value obtained for the total moment is 0.00 μB per cell. As for the formation energy from the elements: 0.41 eV per atom.

The structure belongs to space group P4/mmm (No. 123); the cell edges are 3.237, 3.237 and 6.673 Å and the angles 90.00°, 90.00° and 90.00°. The asymmetric unit holds Y at (0.000, 0.000, 0.000), Be at (0.000, 0.000, 0.500) and W at (0.500, 0.500, 0.325).

=====

(7)
LiCa2Mn: optimized geometry, PBE.

The value obtained for the total moment is 14.25 μB per cell. As for the formation energy from the elements: 0.52 eV per atom.

The structure belongs to space group I-42d (No. 122); the cell edges are 8.247, 8.247 and 6.679 Å and the angles 90.00°, 90.00° and 90.00°. The asymmetric unit holds Li at (0.000, 0.000, 0.000), Ca at (0.249, 0.250, 0.125) and Mn at (0.000, 0.000, 0.500).

=====

(8)
SmTl2S3: optimized geometry, PBE.

The value obtained for the total moment is 0.00 μB per cell. The formation energy (no corrections) comes out at -0.421 eV/atom.

The structure belongs to space group Cmcm (No. 63); the cell edges are 11.935, 11.281 and 5.784 Å and the angles 90.00°, 90.00° and 90.00°. The asymmetric unit holds Sm at (0.000, 0.104, 0.250), Tl at (0.165, 0.500, 0.000), S at (0.000, 0.351, 0.750) and S at (0.124, 0.090, 0.750).

=====

no.,mass density (g cm⁻³)
1,3.60
2,10.00
3,5.42
4,7.08
5,10.89
6,11.06
7,2.08
8,5.59